1.
The following is a DFT calculation (SCAN) of a crystal of ScZn2Pt relaxed with PBEsol.

Output
* formation energy from the elements: -78.1 kJ/mol of atoms
* uncorrected energy: -28.6742 eV/atom
* volume: 60 Å³/f.u.

abc: 4.371 4.371 6.261
angles: 90.00 90.00 90.00
Space group I4/mmm (No. 139)
Inequivalent atoms, fractional coordinates:
Sc 0.000 0.000 0.000 x2
Zn 0.000 0.500 0.250 x4
Pt 0.000 0.000 0.500 x2

***

2.
The following is a DFT calculation (SCAN) of a crystal of ScZn2Pt2 relaxed with PBEsol.

Output
* formation energy from the elements: -84.6 kJ/mol of atoms
* uncorrected energy: -37.2081 eV/atom
* volume: 81 Å³/f.u.

abc: 3.549 3.549 12.933
angles: 90.00 90.00 90.00
Space group I4/mmm (No. 139)
Inequivalent atoms, fractional coordinates:
Sc 0.000 0.000 0.000 x2
Zn 0.000 0.500 0.250 x4
Pt 0.000 0.000 0.398 x4

***

3.
The following is a DFT calculation (SCAN) of a crystal of ScZnPt2 relaxed with PBEsol.

Output
* formation energy from the elements: -101.0 kJ/mol of atoms
* uncorrected energy: -43.0809 eV/atom
* volume: 61 Å³/f.u.

abc: 3.810 3.810 8.460
angles: 90.00 90.00 90.00
Space group I-4m2 (No. 119)
Inequivalent atoms, fractional coordinates:
Sc 0.000 0.000 0.000 x2
Zn 0.000 0.500 0.750 x2
Pt 0.000 0.000 0.500 x2
Pt 0.000 0.500 0.250 x2

***

4.
The following is a DFT calculation (SCAN) of a crystal of ScZn3Pt relaxed with PBEsol.

Output
* formation energy from the elements: -10.0 kJ/mol of atoms
* uncorrected energy: -25.0992 eV/atom
* volume: 102 Å³/f.u.

abc: 4.673 4.673 4.673
angles: 90.00 90.00 90.00
Space group Pm-3m (No. 221)
Inequivalent atoms, fractional coordinates:
Sc 0.000 0.000 0.000 x1
Zn 0.000 0.500 0.500 x3
Pt 0.500 0.500 0.500 x1

***

5.
The following is a DFT calculation (SCAN) of a crystal of ScZn2Pt relaxed with PBEsol.

Output
* formation energy from the elements: -72.4 kJ/mol of atoms
* uncorrected energy: -28.6160 eV/atom
* volume: 62 Å³/f.u.

abc: 6.284 6.284 6.284
angles: 90.00 90.00 90.00
Space group F-43m (No. 216)
Inequivalent atoms, fractional coordinates:
Sc 0.000 0.000 0.000 x4
Zn 0.000 0.000 0.500 x4
Zn 0.250 0.250 0.250 x4
Pt 0.250 0.250 0.750 x4

***

6.
The following is a DFT calculation (SCAN) of a crystal of ScZn2Pt relaxed with PBEsol.

Output
* formation energy from the elements: -64.5 kJ/mol of atoms
* uncorrected energy: -28.5335 eV/atom
* volume: 64 Å³/f.u.

abc: 3.251 3.306 5.919
angles: 90.00 90.00 90.00
Space group Pmm2 (No. 25)
Inequivalent atoms, fractional coordinates:
Sc 0.000 0.000 0.000 x1
Zn 0.000 0.000 0.510 x1
Zn 0.500 0.500 0.296 x1
Pt 0.500 0.500 0.758 x1

***

7.
The following is a DFT calculation (SCAN) of a crystal of ZrSc2Pt relaxed with PBEsol.

Output
* energy above the most stable polymorph in this dataset: 0.0 kJ per mole of atoms
* formation energy from the elements: -60.1 kJ/mol of atoms
* uncorrected energy: -32.9645 eV/atom
* volume: 76 Å³/f.u.

abc: 6.726 6.726 6.726
angles: 90.00 90.00 90.00
Space group Fm-3m (No. 225)
Inequivalent atoms, fractional coordinates:
Zr 0.000 0.000 0.000 x4
Sc 0.250 0.250 0.250 x8
Pt 0.000 0.000 0.500 x4

***

8.
The following is a DFT calculation (SCAN) of a crystal of ZrSc2Pt relaxed with PBEsol.

Output
* energy above the most stable polymorph in this dataset: 36.7 kJ per mole of atoms
* formation energy from the elements: -23.4 kJ/mol of atoms
* uncorrected energy: -32.5836 eV/atom
* volume: 85 Å³/f.u.

abc: 3.1443 3.1443 29.8968
angles: 90.00 90.00 120.00
Space group R-3m (No. 166, hexagonal axes)
Inequivalent atoms, fractional coordinates:
Zr 0.0000 0.0000 0.0000 x3
Sc 0.0000 0.0000 0.1002 x6
Pt 0.0000 0.0000 0.5000 x3